Record 1
# Mg2SnPtRh

A relaxed Mg2SnPtRh crystal (PBE, the Alexandria database).

a b c (Å): 5.102 4.828 5.102
angles (deg): 90.00 90.00 90.00
Positions (direct):
Mg: 0.000 0.000 0.500
Mg: 0.500 0.000 0.000
Rh: 0.000 0.500 0.000
Sn: 0.000 0.000 0.000
Pt: 0.500 0.500 0.500

Computed properties:
DFT formation energy, meV/atom: 822
Total magnetic moment, μB/cell: 0.00

=====

Record 2
# Ho4CuAu2

A relaxed Ho4CuAu2 crystal (PBE, the Alexandria database).

a b c (Å): 4.964 4.964 8.671
angles (deg): 73.37 73.37 60.00
Positions (direct):
Au: 0.754 0.754 0.739
Au: 0.246 0.246 0.261
Ho: 0.876 0.876 0.371
Ho: 0.124 0.124 0.629
Ho: 0.626 0.626 0.121
Ho: 0.374 0.374 0.879
Cu: 0.000 0.000 0.000

Computed properties:
DFT formation energy, meV/atom: -525
Total magnetic moment, μB/cell: 0.00

=====

Record 3
# KNpSe2

A relaxed KNpSe2 crystal (PBE, the Alexandria database).

a b c (Å): 4.230 4.230 8.214
angles (deg): 75.08 75.08 60.00
Each line ends with the local moment (μB).
Positions (direct):
K: 0.498 0.498 0.507  0.00
Np: 0.668 0.668 0.997  3.96
Se: 0.069 0.069 0.794  -0.08
Se: 0.266 0.266 0.202  -0.08

Computed properties:
Total magnetic moment, μB/cell: 4.00
E_form (uncorrected), eV/atom: -1.238

=====

Record 4
# Nd2Sm3Dy8

A relaxed Nd2Sm3Dy8 crystal (PBE, the Alexandria database).

a b c (Å): 5.606 7.685 10.996
angles (deg): 110.51 90.00 90.00
Positions (direct):
Nd: 0.500 0.240 0.482
Nd: 0.500 0.760 0.518
Sm: 0.500 0.000 0.000
Sm: 0.000 0.291 0.000
Sm: 0.000 0.709 0.000
Dy: 0.000 0.665 0.329
Dy: 0.000 0.335 0.671
Dy: 0.000 0.131 0.261
Dy: 0.000 0.869 0.739
Dy: 0.500 0.604 0.786
Dy: 0.500 0.182 0.786
Dy: 0.500 0.818 0.214
Dy: 0.500 0.396 0.214

Computed properties:
DFT formation energy, meV/atom: 244
Total magnetic moment, μB/cell: 0.00

=====

Record 5
# Ac2Dy2Y7

A relaxed Ac2Dy2Y7 crystal (PBE, the Alexandria database).

a b c (Å): 6.205 8.785 8.785
angles (deg): 83.77 64.23 64.23
Positions (direct):
Ac: 0.500 0.211 0.789
Ac: 0.500 0.789 0.211
Dy: 0.087 0.247 0.247
Dy: 0.913 0.753 0.753
Y: 0.179 0.062 0.594
Y: 0.821 0.406 0.938
Y: 0.821 0.938 0.406
Y: 0.179 0.594 0.062
Y: 0.000 0.000 0.000
Y: 0.623 0.596 0.596
Y: 0.377 0.404 0.404

Computed properties:
DFT formation energy, meV/atom: 182
Total magnetic moment, μB/cell: 0.00

=====

Record 6
# Ta2NbReH

A relaxed Ta2NbReH crystal (PBE, the Alexandria database).

a b c (Å): 4.542 4.542 3.471
angles (deg): 90.00 90.00 90.00
Positions (direct):
Re: 0.500 0.500 0.500
Nb: 0.000 0.000 0.500
H: 0.000 0.000 0.000
Ta: 0.000 0.500 0.000
Ta: 0.500 0.000 0.000

Computed properties:
Total magnetic moment, μB/cell: 0.00

=====

Short version: final energy = -3.295, -4.663, -6.490, -4.411, -5.515, -10.031 eV/atom, in the order given.